A plane-wave DFT calculation with PBE was carried out for an optimized crystal structure of Fe2CI.

It has space group Fm-3m (No. 225), with a = 5.9530 Å, b = 5.9530 Å, c = 5.9530 Å, α = 90.00°, β = 90.00° and γ = 90.00°. The distinct sites, in fractional coordinates, are Fe at (0.2500, 0.2500, 0.2500), C at (0.0000, 0.0000, 0.0000) and I at (0.0000, 0.0000, 0.5000).

As for the formation energy without anion corrections: 1.627 eV per atom. As for the crystal system: cubic.